Record 1
Compound: HfSn2Br8
Source: the Alexandria database
Functional: PBE-GGA
Structure: optimized geometry

The value obtained for the calculated volume is 36.9 Å³ per atom. Its density of states at the Fermi level is 0.0 states/eV per cell. For the uncorrected formation energy, the calculation gives -1013 meV/atom. For the raw total energy, the calculation gives -3.86 eV per atom.

It has space group C2/m (No. 12), with a = 14.1216 Å, b = 7.3816 Å, c = 7.7927 Å, α = 90.00°, β = 91.48° and γ = 90.00°. The asymmetric unit holds Hf at (0.0000, 0.0000, 0.0000), Sn at (0.1319, 0.0000, 0.4970), Br at (0.0502, 0.2478, 0.2279), Br at (0.1731, 0.0000, 0.8873) and Br at (0.1928, 0.5000, 0.6026).

=====

Record 2
Compound: Hf2SnBr
Source: the Alexandria database
Functional: PBE-GGA
Structure: optimized geometry

The value obtained for the calculated volume is 21.5 Å³ per atom. Its density of states at the Fermi level is 12.6 states/eV per cell. For the uncorrected formation energy, the calculation gives -130 meV/atom. For the raw total energy, the calculation gives -6.53 eV per atom.

It has space group Fm-3m (No. 225), with a = 7.0039 Å, b = 7.0039 Å, c = 7.0039 Å, α = 90.00°, β = 90.00° and γ = 90.00°. The asymmetric unit holds Hf at (0.2500, 0.2500, 0.2500), Sn at (0.0000, 0.0000, 0.0000) and Br at (0.0000, 0.0000, 0.5000).

=====

Record 3
Compound: Hf2SnBr
Source: the Alexandria database
Functional: PBE-GGA
Structure: optimized geometry

The value obtained for the calculated volume is 24.5 Å³ per atom. Its density of states at the Fermi level is 18.5 states/eV per cell. For the uncorrected formation energy, the calculation gives 346 meV/atom. For the raw total energy, the calculation gives -6.05 eV per atom.

It has space group I-42d (No. 122), with a = 4.3808 Å, b = 4.3808 Å, c = 20.4039 Å, α = 90.00°, β = 90.00° and γ = 90.00°. The asymmetric unit holds Hf at (0.2431, 0.2500, 0.1250), Sn at (0.0000, 0.0000, 0.0000) and Br at (0.0000, 0.0000, 0.5000).